Model A:
LiTaCoB: optimized geometry, PBE.

Cell lengths 3.9297, 3.9297, 3.9297 Å; angles 60.00, 60.00, 60.00 degrees
Closest atoms and distances in Å follow each position.
Sites, in units of the cell vectors:
Co 0.2500 0.2500 0.2500  4 Ta 2.41, 4 B 2.41
B 0.0000 0.0000 0.0000  4 Li 2.41, 4 Co 2.41
Ta 0.5000 0.5000 0.5000  4 Co 2.41, 4 Li 2.41
Li 0.7500 0.7500 0.7500  4 B 2.41, 4 Ta 2.41

* total magnetic moment: 0.001 μB/f.u.
* space group: F-43m, No. 216



Model B:
LiTaCoB: optimized geometry, PBE.

Cell lengths 3.9068, 3.9068, 3.9068 Å; angles 60.00, 60.00, 60.00 degrees
Closest atoms and distances in Å follow each position.
Sites, in units of the cell vectors:
B 0.2500 0.2500 0.2500  4 Co 2.39, 4 Ta 2.39
Ta 0.5000 0.5000 0.5000  4 Li 2.39, 4 B 2.39
Co 0.0000 0.0000 0.0000  4 B 2.39, 4 Li 2.39
Li 0.7500 0.7500 0.7500  4 Ta 2.39, 4 Co 2.39

* total magnetic moment: 0.012 μB/f.u.
* space group: F-43m, No. 216



Quick one: least stable of them? model B



Model A:
LiCoTcB: optimized geometry, PBE.

Cell lengths 3.8714, 3.8714, 3.8714 Å; angles 60.00, 60.00, 60.00 degrees
Closest atoms and distances in Å follow each position.
Sites, in units of the cell vectors:
Tc 0.5000 0.5000 0.5000  4 Co 2.37, 4 Li 2.37
B 0.0000 0.0000 0.0000  4 Li 2.37, 4 Co 2.37
Co 0.7500 0.7500 0.7500  4 Tc 2.37, 4 B 2.37
Li 0.2500 0.2500 0.2500  4 Tc 2.37, 4 B 2.37

* total magnetic moment: 1.926 μB/f.u.
* space group: F-43m, No. 216



Model B:
LiCoTcB: optimized geometry, PBE.

Cell lengths 3.8176, 3.8176, 3.8176 Å; angles 60.00, 60.00, 60.00 degrees
Closest atoms and distances in Å follow each position.
Sites, in units of the cell vectors:
Co 0.7500 0.7500 0.7500  4 B 2.34, 4 Li 2.34
B 0.0000 0.0000 0.0000  4 Co 2.34, 4 Tc 2.34
Tc 0.2500 0.2500 0.2500  4 B 2.34, 4 Li 2.34
Li 0.5000 0.5000 0.5000  4 Co 2.34, 4 Tc 2.34

* total magnetic moment: 1.315 μB/f.u.
* space group: F-43m, No. 216



Quick one: least stable of them? model A



Model A:
LiCoBW: optimized geometry, PBE.

Cell lengths 3.8655, 3.8655, 3.8655 Å; angles 60.00, 60.00, 60.00 degrees
Closest atoms and distances in Å follow each position.
Sites, in units of the cell vectors:
B 0.0000 0.0000 0.0000  4 W 2.37, 4 Co 2.37
W 0.2500 0.2500 0.2500  4 Li 2.37, 4 B 2.37
Co 0.7500 0.7500 0.7500  4 Li 2.37, 4 B 2.37
Li 0.5000 0.5000 0.5000  4 W 2.37, 4 Co 2.37

* total magnetic moment: 1.441 μB/f.u.
* space group: F-43m, No. 216



Model B:
LiCoBW: optimized geometry, PBE.

Cell lengths 3.9094, 3.9094, 3.9094 Å; angles 60.00, 60.00, 60.00 degrees
Closest atoms and distances in Å follow each position.
Sites, in units of the cell vectors:
Co 0.7500 0.7500 0.7500  4 W 2.39, 4 B 2.39
Li 0.2500 0.2500 0.2500  4 B 2.39, 4 W 2.39
W 0.5000 0.5000 0.5000  4 Co 2.39, 4 Li 2.39
B 0.0000 0.0000 0.0000  4 Li 2.39, 4 Co 2.39

* total magnetic moment: 0.275 μB/f.u.
* space group: F-43m, No. 216



Quick one: least stable of them? model B